An optimized crystal structure of TaInS2. Source: Alexandria via LeMat-Bulk, functional GGA-PBE.

Results
Size of the total moment: 0.0 μB per cell
DOS(E_F): 0.63 states/eV/f.u.
Formation energy from raw total energies: -0.76 eV/atom
Calculated total energy: -6.467 eV per atom
Space-group type: No. 166

a b c (Å): 3.3256 3.3256 9.1825
angles (deg): 79.57 79.57 60.00
Fractional positions:
S (0.7254, 0.7254, 0.8239)
S (0.2746, 0.2746, 0.1761)
Ta (0.0000, 0.0000, 0.0000)
In (0.5000, 0.5000, 0.5000)

***

An optimized crystal structure of CeNb3Tl2O12. Source: Alexandria via LeMat-Bulk, functional GGA-PBE.

Results
Size of the total moment: 0.0 μB per cell
DOS(E_F): 6.65 states/eV/f.u.
Formation energy from raw total energies: -2.01 eV/atom
Calculated total energy: -7.586 eV per atom
Space-group type: No. 166

a b c (Å): 6.8739 6.8739 6.8739
angles (deg): 67.70 67.70 67.70
Fractional positions:
Nb (0.0000, 0.5000, 0.0000)
Nb (0.0000, 0.0000, 0.5000)
Nb (0.5000, 0.0000, 0.0000)
O (0.8567, 0.8567, 0.4109)
O (0.7385, 0.7385, 0.0913)
O (0.4109, 0.8567, 0.8567)
O (0.2615, 0.2615, 0.9087)
O (0.5891, 0.1433, 0.1433)
O (0.2615, 0.9087, 0.2615)
O (0.1433, 0.5891, 0.1433)
O (0.1433, 0.1433, 0.5891)
O (0.9087, 0.2615, 0.2615)
O (0.8567, 0.4109, 0.8567)
O (0.7385, 0.0913, 0.7385)
O (0.0913, 0.7385, 0.7385)
Tl (0.6453, 0.6453, 0.6453)
Tl (0.3547, 0.3547, 0.3547)
Ce (0.0000, 0.0000, 0.0000)

***

An optimized crystal structure of Zn2SbOs. Source: Alexandria via LeMat-Bulk, functional GGA-PBE.

Results
Size of the total moment: 0.0 μB per cell
DOS(E_F): 1.21 states/eV/f.u.
Formation energy from raw total energies: 0.27 eV/atom
Calculated total energy: -4.207 eV per atom
Space-group type: No. 25

a b c (Å): 3.2025 3.8292 5.4623
angles (deg): 90.00 90.00 90.00
Fractional positions:
Sb (0.5000, 0.5000, 0.7263)
Zn (0.5000, 0.5000, 0.2370)
Zn (0.0000, 0.0000, 0.0299)
Os (0.0000, 0.0000, 0.5068)

***

An optimized crystal structure of Al3BiMo. Source: Alexandria via LeMat-Bulk, functional GGA-PBE.

Results
Size of the total moment: 0.0 μB per cell
DOS(E_F): 1.51 states/eV/f.u.
E_form: 0.58 eV/atom
Calculated total energy: -4.607 eV per atom
Energy above the most stable polymorph in this dataset: 0 meV per atom
Space-group type: No. 221

a b c (Å): 4.8965 4.8965 4.8965
angles (deg): 90.00 90.00 90.00
Fractional positions:
Mo (0.0000, 0.0000, 0.0000)
Al (0.0000, 0.5000, 0.0000)
Al (0.0000, 0.0000, 0.5000)
Al (0.5000, 0.0000, 0.0000)
Bi (0.5000, 0.5000, 0.5000)